An optimized crystal structure of BaPmRh4. Source: Alexandria, functional GGA-PBE.

Properties
- Calculated total energy: -6.369 eV/atom
- Formation energy: -0.356 eV/atom
- Crystal system: cubic

Cell lengths 5.4999, 5.4999, 5.4999 Å; angles 60.00, 60.00, 60.00 degrees
Fractional coordinates of all 6 atoms:
Rh 0.6255 0.6255 0.6255
Rh 0.6255 0.1234 0.6255
Rh 0.6255 0.6255 0.1234
Rh 0.1234 0.6255 0.6255
Pm 0.0000 0.0000 0.0000
Ba 0.2500 0.2500 0.2500

An optimized crystal structure of Hg2TeBr. Source: Alexandria, functional GGA-PBE.

Properties
- Calculated total energy: -1.508 eV/atom
- Crystal system: trigonal
- ΔE to the lowest computed polymorph: 0.103 eV/atom

Cell lengths 7.3977, 7.3977, 7.3977 Å; angles 35.25, 35.25, 35.25 degrees
Fractional coordinates of all 4 atoms:
Te 0.2500 0.2500 0.2500
Hg 0.9907 0.9907 0.9907
Hg 0.5093 0.5093 0.5093
Br 0.7500 0.7500 0.7500

An optimized crystal structure of Sb2TeW. Source: Alexandria, functional GGA-PBE.

Properties
- Calculated total energy: -5.723 eV/atom
- Crystal system: tetragonal

Cell lengths 3.2684, 3.2686, 9.4467 Å; angles 90.00, 90.00, 90.00 degrees
Fractional coordinates of all 4 atoms:
Sb 0.0000 0.0000 0.9304
Sb 0.0000 0.0000 0.5696
Te 0.5000 0.5000 0.2500
W 0.5000 0.5000 0.7500

Repeat the third record exactly.
An optimized crystal structure of Sb2TeW. Source: Alexandria, functional GGA-PBE.

Properties
- Calculated total energy: -5.723 eV/atom
- Crystal system: tetragonal

Cell lengths 3.2684, 3.2686, 9.4467 Å; angles 90.00, 90.00, 90.00 degrees
Fractional coordinates of all 4 atoms:
Sb 0.0000 0.0000 0.9304
Sb 0.0000 0.0000 0.5696
Te 0.5000 0.5000 0.2500
W 0.5000 0.5000 0.7500

- Which value of calculated total energy does entry 2 give?
  -1.508 eV/atom

- Which of these has the lowest calculated total energy?
  BaPmRh4